(1)
# Pb3Cl

Crystalline Pb3Cl at its relaxed geometry (PBE, the Alexandria database).

Structure (POSCAR):
```
Pb3Cl
1.0
-5.7585 4.8814 2.0267
-5.2677 2.9448 4.9674
2.0105 4.0036 2.3010
Pb Cl
3 1
direct
0.2015 0.2015 0.2983
0.5000 0.5000 0.5000
0.7985 0.7985 0.7017
0.0000 0.0000 0.0000
```

Output
final energy: -14.093 eV/cell
offset from the most stable computed form: 0.015 eV per atom

(2)
# Pb3Cl

Crystalline Pb3Cl at its relaxed geometry (PBE, the Alexandria database).

Structure (POSCAR):
```
Pb3Cl
1.0
5.2989 0.0000 0.0000
0.0000 3.5063 0.0715
0.0000 1.3441 6.3865
Pb Cl
3 1
direct
0.5000 0.8263 0.7647
0.0000 0.5000 0.5000
0.5000 0.1737 0.2353
0.0000 0.0000 0.0000
```

Output
final energy: -13.856 eV/cell
offset from the most stable computed form: 0.074 eV per atom

(3)
# Pb3Cl

Crystalline Pb3Cl at its relaxed geometry (PBE, the Alexandria database).

Structure (POSCAR):
```
Pb3Cl
1.0
4.9422 0.0000 0.0000
0.0000 4.9422 0.0000
0.0000 0.0000 4.9422
Cl Pb
1 3
direct
0.0000 0.0000 0.0000
0.0000 0.5000 0.5000
0.5000 0.0000 0.5000
0.5000 0.5000 0.0000
```

Output
final energy: -13.227 eV/cell
offset from the most stable computed form: 0.231 eV per atom

(4)
# PbCl3

Crystalline PbCl3 at its relaxed geometry (PBE, the Alexandria database).

Structure (POSCAR):
```
PbCl3
1.0
-2.1924 -5.2427 -3.6390
0.4685 -5.6827 3.6087
-2.8413 6.0497 -0.9291
Cl Pb
3 1
direct
0.9856 0.5000 0.4856
0.2808 0.3359 0.9449
0.6089 0.6641 0.9449
0.2914 0.0000 0.2914
```

Output
final energy: -12.066 eV/cell

(5)
# PbCl3

Crystalline PbCl3 at its relaxed geometry (PBE, the Alexandria database).

Structure (POSCAR):
```
PbCl3
1.0
-1.4253 3.7931 -8.1775
-2.1376 -8.1852 -3.4241
-4.4137 -1.7810 -5.1495
Cl Pb
6 2
direct
0.5000 0.5000 0.0000
0.3750 0.3439 0.7500
0.8750 0.9061 0.7500
0.2500 0.7500 0.5000
0.0939 0.6250 0.2500
0.6561 0.1250 0.2500
0.0000 0.0000 0.0000
0.7500 0.2500 0.5000
```

Output
final energy: -23.319 eV/cell

(6)
# Pb2Cl

Crystalline Pb2Cl at its relaxed geometry (PBE, the Alexandria database).

Structure (POSCAR):
```
Pb2Cl
1.0
4.6481 -8.0508 0.0000
4.6481 8.0508 0.0000
0.0000 0.0000 3.4192
Cl Pb
3 6
direct
0.6667 0.3333 0.0000
0.3333 0.6667 0.0000
0.0000 0.0000 0.5000
0.0000 0.2942 0.0000
0.3736 0.3736 0.5000
0.6264 0.0000 0.5000
0.7058 0.7058 0.0000
0.0000 0.6264 0.5000
0.2942 0.0000 0.0000
```

Output
final energy: -30.579 eV/cell
offset from the most stable computed form: 0.080 eV per atom

(7)
# PbCl3

Crystalline PbCl3 at its relaxed geometry (PBE, the Alexandria database).

Structure (POSCAR):
```
PbCl3
1.0
-4.3115 -1.3561 2.4889
-4.4653 2.3319 -1.1162
-3.7095 -2.5849 -2.4861
Cl Pb
3 1
direct
0.2500 0.2500 0.2500
0.7500 0.7500 0.7500
0.0000 0.0000 0.0000
0.5000 0.5000 0.5000
```

Output
final energy: -11.203 eV/cell

(8)
# Pb2Cl

Crystalline Pb2Cl at its relaxed geometry (PBE, the Alexandria database).

Structure (POSCAR):
```
Pb2Cl
1.0
-3.9194 -3.9442 2.1410
2.2408 -5.4828 0.6477
0.5176 5.6866 1.7018
Pb Cl
2 1
direct
0.2832 0.2832 0.0000
0.7168 0.7168 0.0000
0.0000 0.0000 0.0000
```

Output
final energy: -10.248 eV/cell
offset from the most stable computed form: 0.062 eV per atom

The following formation energy (no corrections) values (in eV per atom) correspond, in order, to the records above: -0.280, -0.221, -0.064, -0.704, -0.603, -0.310, -0.489, -0.328.